# 1
# K2Sm2SnS6 PBE optimized geometry
# **Crystal system**: monoclinic
# **Raw formation energy**: -1425 meV per atom
# **Uncorrected energy**: -112.15 eV for the cell shown
data_K2Sm2SnS6
_space_group_name_H-M_alt 'C 1 2/m 1'
_space_group_IT_number 12
_space_group_name_Hall '-C 2y'
_cell_length_a 6.987
_cell_length_b 11.987
_cell_length_c 7.935
_cell_angle_alpha 90.00
_cell_angle_beta 107.08
_cell_angle_gamma 90.00
loop_
_atom_site_label
_atom_site_type_symbol
_atom_site_fract_x
_atom_site_fract_y
_atom_site_fract_z
K1 K 0.000 0.169 0.000
Sm1 Sm 0.000 0.332 0.500
Sn1 Sn 0.000 0.000 0.500
S1 S 0.224 0.158 0.697
S2 S 0.240 0.000 0.306


# 2
# NpMnV2 PBE optimized geometry
# **Energy of formation from the pure elements**: 27.4 kJ/mol of atoms
# **Crystal system**: cubic
# **Uncorrected energy**: -156.85 eV for the cell shown
data_NpMnV2
_space_group_name_H-M_alt 'F m -3 m'
_space_group_IT_number 225
_space_group_name_Hall '-F 4 2 3'
_cell_length_a 6.113
_cell_length_b 6.113
_cell_length_c 6.113
_cell_angle_alpha 90.00
_cell_angle_beta 90.00
_cell_angle_gamma 90.00
loop_
_atom_site_label
_atom_site_type_symbol
_atom_site_fract_x
_atom_site_fract_y
_atom_site_fract_z
Np1 Np 0.000 0.000 0.000
Mn1 Mn 0.000 0.000 0.500
V1 V 0.250 0.250 0.250


# 3
# Pm2Ho2TmSc2 PBE optimized geometry
# **Energy of formation from the pure elements**: 16.1 kJ/mol of atoms
# **Crystal system**: monoclinic
# **Uncorrected energy**: -69.24 eV for the cell shown
data_Pm2Ho2TmSc2
_space_group_name_H-M_alt 'C 1 2/m 1'
_space_group_IT_number 12
_space_group_name_Hall '-C 2y'
_cell_length_a 11.124
_cell_length_b 3.420
_cell_length_c 11.554
_cell_angle_alpha 90.00
_cell_angle_beta 101.62
_cell_angle_gamma 90.00
loop_
_atom_site_label
_atom_site_type_symbol
_atom_site_fract_x
_atom_site_fract_y
_atom_site_fract_z
Pm1 Pm 0.094 0.000 0.268
Ho1 Ho 0.152 0.000 0.575
Tm1 Tm 0.000 0.500 0.000
Sc1 Sc 0.206 0.000 0.877


# 4
# CoAs2W PBE optimized geometry
# **Energy of formation from the pure elements**: 38.8 kJ/mol of atoms
# **Crystal system**: tetragonal
# **Uncorrected energy**: -55.50 eV for the cell shown
data_CoAs2W
_space_group_name_H-M_alt 'I -4 m 2'
_space_group_IT_number 119
_space_group_name_Hall 'I -4 -2'
_cell_length_a 3.631
_cell_length_b 3.631
_cell_length_c 8.990
_cell_angle_alpha 90.00
_cell_angle_beta 90.00
_cell_angle_gamma 90.00
loop_
_atom_site_label
_atom_site_type_symbol
_atom_site_fract_x
_atom_site_fract_y
_atom_site_fract_z
Co1 Co 0.000 0.000 0.000
As1 As 0.000 0.000 0.500
As2 As 0.000 0.500 0.250
W1 W 0.000 0.500 0.750


# 5
# La2Tb6Pm3Ho PBE optimized geometry
# **Energy of formation from the pure elements**: 1.5 kJ/mol of atoms
# **Crystal system**: monoclinic
# **Uncorrected energy**: -112.57 eV for the cell shown
data_La2Tb6Pm3Ho
_space_group_name_H-M_alt 'C 1 2/m 1'
_space_group_IT_number 12
_space_group_name_Hall '-C 2y'
_cell_length_a 6.266
_cell_length_b 10.850
_cell_length_c 11.929
_cell_angle_alpha 90.00
_cell_angle_beta 100.06
_cell_angle_gamma 90.00
loop_
_atom_site_label
_atom_site_type_symbol
_atom_site_fract_x
_atom_site_fract_y
_atom_site_fract_z
La1 La 0.000 0.166 0.000
Tb1 Tb 0.248 0.500 0.749
Tb2 Tb 0.250 0.166 0.749
Pm1 Pm 0.000 0.000 0.500
Pm2 Pm 0.000 0.333 0.500
Ho1 Ho 0.000 0.500 0.000


# 6
# SrLa3Fe PBE optimized geometry
# **Energy of formation from the pure elements**: 140.8 kJ/mol of atoms
# **Crystal system**: cubic
# **Uncorrected energy**: -17.63 eV for the cell shown
data_SrLa3Fe
_space_group_name_H-M_alt 'P m -3 m'
_space_group_IT_number 221
_space_group_name_Hall '-P 4 2 3'
_cell_length_a 5.872
_cell_length_b 5.872
_cell_length_c 5.872
_cell_angle_alpha 90.00
_cell_angle_beta 90.00
_cell_angle_gamma 90.00
loop_
_atom_site_label
_atom_site_type_symbol
_atom_site_fract_x
_atom_site_fract_y
_atom_site_fract_z
Sr1 Sr 0.000 0.000 0.000
La1 La 0.000 0.000 0.500
Fe1 Fe 0.500 0.500 0.500


# 7
# Nb2TlPb PBE optimized geometry
# **Energy of formation from the pure elements**: 74.2 kJ/mol of atoms
# **Crystal system**: tetragonal
# **Uncorrected energy**: -92.56 eV for the cell shown
data_Nb2TlPb
_space_group_name_H-M_alt 'I -4 2 d'
_space_group_IT_number 122
_space_group_name_Hall 'I -4 2bw'
_cell_length_a 7.780
_cell_length_b 7.780
_cell_length_c 6.078
_cell_angle_alpha 90.00
_cell_angle_beta 90.00
_cell_angle_gamma 90.00
loop_
_atom_site_label
_atom_site_type_symbol
_atom_site_fract_x
_atom_site_fract_y
_atom_site_fract_z
Nb1 Nb 0.249 0.750 0.125
Tl1 Tl 0.000 0.000 0.500
Pb1 Pb 0.000 0.000 0.000


# 8
# Ta2CoHg PBE optimized geometry
# **Energy of formation from the pure elements**: 77.9 kJ/mol of atoms
# **Crystal system**: tetragonal
# **Uncorrected energy**: -111.53 eV for the cell shown
data_Ta2CoHg
_space_group_name_H-M_alt 'I -4 2 d'
_space_group_IT_number 122
_space_group_name_Hall 'I -4 2bw'
_cell_length_a 3.854
_cell_length_b 3.854
_cell_length_c 19.537
_cell_angle_alpha 90.00
_cell_angle_beta 90.00
_cell_angle_gamma 90.00
loop_
_atom_site_label
_atom_site_type_symbol
_atom_site_fract_x
_atom_site_fract_y
_atom_site_fract_z
Ta1 Ta 0.243 0.250 0.125
Co1 Co 0.000 0.000 0.000
Hg1 Hg 0.000 0.000 0.500


# 9
# AlTeMoN2 PBE optimized geometry
# **Crystal system**: tetragonal
# **Raw formation energy**: 474 meV per atom
# **Uncorrected energy**: -32.00 eV for the cell shown
data_AlTeMoN2
_space_group_name_H-M_alt 'P 4/m m m'
_space_group_IT_number 123
_space_group_name_Hall '-P 4 2'
_cell_length_a 3.958
_cell_length_b 3.958
_cell_length_c 5.690
_cell_angle_alpha 90.00
_cell_angle_beta 90.00
_cell_angle_gamma 90.00
loop_
_atom_site_label
_atom_site_type_symbol
_atom_site_fract_x
_atom_site_fract_y
_atom_site_fract_z
Al1 Al 0.000 0.000 0.000
Te1 Te 0.500 0.500 0.000
Mo1 Mo 0.500 0.500 0.500
N1 N 0.000 0.500 0.500


# 10
# CrPt2Se PBE optimized geometry
# **Crystal system**: orthorhombic
# **Raw formation energy**: 75 meV per atom
# **Uncorrected energy**: -24.89 eV for the cell shown
data_CrPt2Se
_space_group_name_H-M_alt 'P m m m'
_space_group_IT_number 47
_space_group_name_Hall '-P 2 2'
_cell_length_a 2.990
_cell_length_b 4.651
_cell_length_c 4.654
_cell_angle_alpha 90.00
_cell_angle_beta 90.00
_cell_angle_gamma 90.00
loop_
_atom_site_label
_atom_site_type_symbol
_atom_site_fract_x
_atom_site_fract_y
_atom_site_fract_z
Cr1 Cr 0.000 0.000 0.000
Pt1 Pt 0.000 0.500 0.500
Pt2 Pt 0.500 0.000 0.500
Se1 Se 0.500 0.500 0.000


# 11
# TcSb2Pb PBE optimized geometry
# **Crystal system**: tetragonal
# **Raw formation energy**: 442 meV per atom
# **Uncorrected energy**: -82.20 eV for the cell shown
data_TcSb2Pb
_space_group_name_H-M_alt 'I -4 2 d'
_space_group_IT_number 122
_space_group_name_Hall 'I -4 2bw'
_cell_length_a 6.453
_cell_length_b 6.453
_cell_length_c 12.957
_cell_angle_alpha 90.00
_cell_angle_beta 90.00
_cell_angle_gamma 90.00
loop_
_atom_site_label
_atom_site_type_symbol
_atom_site_fract_x
_atom_site_fract_y
_atom_site_fract_z
Tc1 Tc 0.000 0.000 0.000
Sb1 Sb 0.181 0.250 0.125
Pb1 Pb 0.000 0.000 0.500


# 12
# POs2W PBE optimized geometry
# **Energy of formation from the pure elements**: 27.3 kJ/mol of atoms
# **Crystal system**: orthorhombic
# **Uncorrected energy**: -39.69 eV for the cell shown
data_POs2W
_space_group_name_H-M_alt 'P m m 2'
_space_group_IT_number 25
_space_group_name_Hall 'P 2 -2'
_cell_length_a 2.870
_cell_length_b 3.876
_cell_length_c 5.310
_cell_angle_alpha 90.00
_cell_angle_beta 90.00
_cell_angle_gamma 90.00
loop_
_atom_site_label
_atom_site_type_symbol
_atom_site_fract_x
_atom_site_fract_y
_atom_site_fract_z
P1 P 0.000 0.000 0.000
Os1 Os 0.000 0.000 0.539
Os2 Os 0.500 0.500 0.861
W1 W 0.500 0.500 0.331


# 13
# Mg3Se5 PBE optimized geometry
# **Crystal system**: tetragonal
# **Raw formation energy**: -578 meV per atom
# **Uncorrected energy**: -26.83 eV for the cell shown
data_Mg3Se5
_space_group_name_H-M_alt 'P 4/m m m'
_space_group_IT_number 123
_space_group_name_Hall '-P 4 2'
_cell_length_a 3.673
_cell_length_b 3.673
_cell_length_c 13.996
_cell_angle_alpha 90.00
_cell_angle_beta 90.00
_cell_angle_gamma 90.00
loop_
_atom_site_label
_atom_site_type_symbol
_atom_site_fract_x
_atom_site_fract_y
_atom_site_fract_z
Mg1 Mg 0.000 0.000 0.000
Mg2 Mg 0.500 0.500 0.366
Se1 Se 0.000 0.000 0.304
Se2 Se 0.000 0.000 0.500
Se3 Se 0.500 0.500 0.089


# 14
# TiBeBi3 PBE optimized geometry
# **Energy of formation from the pure elements**: 71.9 kJ/mol of atoms
# **Crystal system**: cubic
# **Uncorrected energy**: -19.54 eV for the cell shown
data_TiBeBi3
_space_group_name_H-M_alt 'P m -3 m'
_space_group_IT_number 221
_space_group_name_Hall '-P 4 2 3'
_cell_length_a 5.080
_cell_length_b 5.080
_cell_length_c 5.080
_cell_angle_alpha 90.00
_cell_angle_beta 90.00
_cell_angle_gamma 90.00
loop_
_atom_site_label
_atom_site_type_symbol
_atom_site_fract_x
_atom_site_fract_y
_atom_site_fract_z
Ti1 Ti 0.000 0.000 0.000
Be1 Be 0.500 0.500 0.500
Bi1 Bi 0.000 0.500 0.500


# 15
# K3SnCl6 PBE optimized geometry
# **Crystal system**: monoclinic
# **Raw formation energy**: -1549 meV per atom
# **Uncorrected energy**: -67.74 eV for the cell shown
data_K3SnCl6
_space_group_name_H-M_alt 'P 1 21/c 1'
_space_group_IT_number 14
_space_group_name_Hall '-P 2ybc'
_cell_length_a 7.500
_cell_length_b 7.971
_cell_length_c 13.077
_cell_angle_alpha 90.00
_cell_angle_beta 124.40
_cell_angle_gamma 90.00
loop_
_atom_site_label
_atom_site_type_symbol
_atom_site_fract_x
_atom_site_fract_y
_atom_site_fract_z
K1 K 0.000 0.000 0.000
K2 K 0.218 0.074 0.745
Sn1 Sn 0.500 0.000 0.500
Cl1 Cl 0.158 0.178 0.443
Cl2 Cl 0.258 0.723 0.425
Cl3 Cl 0.401 0.055 0.273


# 16
# SrLi PBE optimized geometry
# **Energy of formation from the pure elements**: 3.3 kJ/mol of atoms
# **Crystal system**: tetragonal
# **Uncorrected energy**: -7.05 eV for the cell shown
data_SrLi
_space_group_name_H-M_alt 'P 4/n m m'
_space_group_IT_number 129
_cell_length_a 4.072
_cell_length_b 4.072
_cell_length_c 9.076
_cell_angle_alpha 90.00
_cell_angle_beta 90.00
_cell_angle_gamma 90.00
loop_
_space_group_symop_operation_xyz
'x,y,z'
'-x,-y,-z'
'-y+1/2,x,z'
'y+1/2,-x,-z'
'-x+1/2,-y+1/2,z'
'x+1/2,y+1/2,-z'
'y,-x+1/2,z'
'-y,x+1/2,-z'
'x+1/2,-y,-z'
'-x+1/2,y,z'
'-y,-x,-z'
'y,x,z'
'-x,y+1/2,-z'
'x,-y+1/2,z'
'y+1/2,x+1/2,-z'
'-y+1/2,-x+1/2,z'
loop_
_atom_site_label
_atom_site_type_symbol
_atom_site_fract_x
_atom_site_fract_y
_atom_site_fract_z
Sr1 Sr 0.250 0.250 0.176
Li1 Li 0.250 0.250 0.567


# 17
# Sc2InW PBE optimized geometry
# **Energy of formation from the pure elements**: -2.8 kJ/mol of atoms
# **Crystal system**: orthorhombic
# **Uncorrected energy**: -28.47 eV for the cell shown
data_Sc2InW
_space_group_name_H-M_alt 'P m m m'
_space_group_IT_number 47
_space_group_name_Hall '-P 2 2'
_cell_length_a 3.259
_cell_length_b 3.553
_cell_length_c 7.083
_cell_angle_alpha 90.00
_cell_angle_beta 90.00
_cell_angle_gamma 90.00
loop_
_atom_site_label
_atom_site_type_symbol
_atom_site_fract_x
_atom_site_fract_y
_atom_site_fract_z
Sc1 Sc 0.000 0.000 0.223
In1 In 0.500 0.500 0.500
W1 W 0.500 0.500 0.000


# 18
# Cs4GeP4S12 PBE optimized geometry
# **Crystal system**: monoclinic
# **Raw formation energy**: -706 meV per atom
# **Uncorrected energy**: -376.07 eV for the cell shown
data_Cs4GeP4S12
_space_group_name_H-M_alt 'C 1 2/c 1'
_space_group_IT_number 15
_space_group_name_Hall '-C 2yc'
_cell_length_a 13.192
_cell_length_b 8.684
_cell_length_c 24.975
_cell_angle_alpha 90.00
_cell_angle_beta 102.95
_cell_angle_gamma 90.00
loop_
_atom_site_label
_atom_site_type_symbol
_atom_site_fract_x
_atom_site_fract_y
_atom_site_fract_z
Cs1 Cs 0.097 0.053 0.183
Cs2 Cs 0.191 0.487 0.549
Ge1 Ge 0.000 0.492 0.750
P1 P 0.086 0.319 0.868
P2 P 0.139 0.430 0.383
S1 S 0.041 0.311 0.416
S2 S 0.059 0.233 0.936
S3 S 0.063 0.363 0.687
S4 S 0.131 0.361 0.297
S5 S 0.178 0.205 0.828
S6 S 0.212 0.073 0.579


# 19
# BaNa2 PBE optimized geometry
# **Energy of formation from the pure elements**: -1.2 kJ/mol of atoms
# **Crystal system**: hexagonal
# **Uncorrected energy**: -18.40 eV for the cell shown
data_BaNa2
_space_group_name_H-M_alt 'P 63/m m c'
_space_group_IT_number 194
_space_group_name_Hall '-P 6c 2c'
_cell_length_a 7.3062
_cell_length_b 7.3062
_cell_length_c 11.8866
_cell_angle_alpha 90.00
_cell_angle_beta 90.00
_cell_angle_gamma 120.00
loop_
_atom_site_label
_atom_site_type_symbol
_atom_site_fract_x
_atom_site_fract_y
_atom_site_fract_z
Ba1 Ba 0.3333 0.6667 0.0615
Na1 Na 0.0000 0.0000 0.0000
Na2 Na 0.1697 0.3395 0.7500


# 20
# ZnTeO3 PBE optimized geometry
# **Crystal system**: cubic
# **Raw formation energy**: -282 meV per atom
# **Uncorrected energy**: -20.70 eV for the cell shown
data_ZnTeO3
_space_group_name_H-M_alt 'P m -3 m'
_space_group_IT_number 221
_space_group_name_Hall '-P 4 2 3'
_cell_length_a 3.857
_cell_length_b 3.857
_cell_length_c 3.857
_cell_angle_alpha 90.00
_cell_angle_beta 90.00
_cell_angle_gamma 90.00
loop_
_atom_site_label
_atom_site_type_symbol
_atom_site_fract_x
_atom_site_fract_y
_atom_site_fract_z
Zn1 Zn 0.000 0.000 0.000
Te1 Te 0.500 0.500 0.500
O1 O 0.000 0.000 0.500


# 21
# Pm6CuPd2 PBE optimized geometry
# **Energy of formation from the pure elements**: -32.8 kJ/mol of atoms
# **Crystal system**: monoclinic
# **Uncorrected energy**: -92.08 eV for the cell shown
data_Pm6CuPd2
_space_group_name_H-M_alt 'C 1 2/m 1'
_space_group_IT_number 12
_space_group_name_Hall '-C 2y'
_cell_length_a 14.223
_cell_length_b 4.116
_cell_length_c 10.562
_cell_angle_alpha 90.00
_cell_angle_beta 125.31
_cell_angle_gamma 90.00
loop_
_atom_site_label
_atom_site_type_symbol
_atom_site_fract_x
_atom_site_fract_y
_atom_site_fract_z
Pm1 Pm 0.019 0.000 0.181
Pm2 Pm 0.157 0.500 0.522
Pm3 Pm 0.222 0.500 0.124
Cu1 Cu 0.000 0.000 0.500
Pd1 Pd 0.093 0.500 0.743


# 22
# Tl3In3Hg PBE optimized geometry
# **Energy of formation from the pure elements**: 32.0 kJ/mol of atoms
# **Crystal system**: cubic
# **Uncorrected energy**: -26.58 eV for the cell shown
data_Tl3In3Hg
_space_group_name_H-M_alt 'P m -3 n'
_space_group_IT_number 223
_space_group_name_Hall '-P 4n 2 3'
_cell_length_a 8.422
_cell_length_b 8.422
_cell_length_c 8.422
_cell_angle_alpha 90.00
_cell_angle_beta 90.00
_cell_angle_gamma 90.00
loop_
_atom_site_label
_atom_site_type_symbol
_atom_site_fract_x
_atom_site_fract_y
_atom_site_fract_z
Tl1 Tl 0.000 0.250 0.500
In1 In 0.000 0.500 0.250
Hg1 Hg 0.000 0.000 0.000


# 23
# Hf3B4W PBE optimized geometry
# **Energy of formation from the pure elements**: -49.2 kJ/mol of atoms
# **Crystal system**: orthorhombic
# **Uncorrected energy**: -147.20 eV for the cell shown
data_Hf3B4W
_space_group_name_H-M_alt 'I m m m'
_space_group_IT_number 71
_space_group_name_Hall '-I 2 2'
_cell_length_a 3.448
_cell_length_b 4.902
_cell_length_c 12.656
_cell_angle_alpha 90.00
_cell_angle_beta 90.00
_cell_angle_gamma 90.00
loop_
_atom_site_label
_atom_site_type_symbol
_atom_site_fract_x
_atom_site_fract_y
_atom_site_fract_z
Hf1 Hf 0.000 0.000 0.000
Hf2 Hf 0.000 0.500 0.190
B1 B 0.000 0.327 0.371
W1 W 0.000 0.000 0.500